Record 1
This record from Alexandria via LeMat-Bulk describes crystalline PaMo2H8 at its relaxed geometry. The functional is GGA-PBE. Values from VASP.

Calculated values
- magnetization (μB per formula unit) = 0.6
- space group = C2/m (12)
- energy (eV/atom) = -5.340

```
&SYSTEM
  ibrav = 0, nat = 11, ntyp = 3
/
ATOMIC_SPECIES
H 1.01 H.upf
Mo 95.94 Mo.upf
Pa 231.04 Pa.upf
CELL_PARAMETERS angstrom
3.4044 0.5002 -0.4218
-1.1192 4.6204 -2.1880
0.4977 -0.1481 5.2075
ATOMIC_POSITIONS crystal
H 0.0000 0.2561 0.7377
H 0.2256 0.4045 0.4045
H 0.7744 0.5894 0.5894
H 0.4720 0.6905 0.9731
H 0.5280 0.3033 0.0207
H 0.4720 0.9731 0.6905
H 0.5280 0.0207 0.3033
Mo 0.5000 0.3243 0.6695
Mo 0.5000 0.6695 0.3243
Pa 0.0000 0.9969 0.9969
H 0.0000 0.7377 0.2561
```



Record 2
This record from Alexandria via LeMat-Bulk describes crystalline Tm2Al4Pd3Au at its relaxed geometry. The functional is GGA-PBE. Values from VASP.

Calculated values
- magnetization (μB per formula unit) = 0.0
- energy of formation (eV per atom) = -0.796
- space group = P-4m2 (115)

```
&SYSTEM
  ibrav = 0, nat = 10, ntyp = 4
/
ATOMIC_SPECIES
Al 26.98 Al.upf
Au 196.97 Au.upf
Tm 168.93 Tm.upf
Pd 106.42 Pd.upf
CELL_PARAMETERS angstrom
-1.5878 -3.4517 -1.6615
2.5308 -2.2953 2.3500
-7.5226 -0.2988 7.8096
ATOMIC_POSITIONS crystal
Al 0.0000 0.0000 0.0000
Au 0.5000 0.5000 0.5000
Tm 0.0000 0.5000 0.7589
Al 0.0000 0.5000 0.3635
Al 0.5000 0.5000 0.0000
Pd 0.0000 0.0000 0.5000
Tm 0.5000 0.0000 0.2411
Al 0.5000 0.0000 0.6365
Pd 0.5000 0.0000 0.8628
Pd 0.0000 0.5000 0.1372
```



Record 3
This record from Alexandria via LeMat-Bulk describes crystalline HoAs2Pt at its relaxed geometry. The functional is GGA-PBE. Values from VASP.

Calculated values
- magnetization (μB per formula unit) = 0.0
- energy of formation (eV per atom) = -0.197
- space group = R-3m (166)

```
&SYSTEM
  ibrav = 0, nat = 4, ntyp = 3
/
ATOMIC_SPECIES
Ho 164.93 Ho.upf
Pt 195.08 Pt.upf
As 74.92 As.upf
CELL_PARAMETERS angstrom
-0.3331 3.6702 0.3426
-2.7759 1.4287 1.9878
3.8295 1.4932 7.7201
ATOMIC_POSITIONS crystal
Ho 0.0000 0.0000 0.0000
Pt 0.5000 0.5000 0.5000
As 0.1133 0.1133 0.6601
As 0.8867 0.8867 0.3399
```



Record 4
This record from Alexandria via LeMat-Bulk describes crystalline LiTh2Au2 at its relaxed geometry. The functional is GGA-PBE. Values from VASP.

Calculated values
- magnetization (μB per formula unit) = 0.0
- energy of formation (eV per atom) = -0.414
- space group = Cmc2_1 (36)

```
&SYSTEM
  ibrav = 0, nat = 10, ntyp = 3
/
ATOMIC_SPECIES
Th 232.04 Th.upf
Li 6.94 Li.upf
Au 196.97 Au.upf
CELL_PARAMETERS angstrom
4.6219 0.0000 0.0000
0.0000 6.5066 0.0000
-2.3110 0.0000 8.3271
ATOMIC_POSITIONS crystal
Th 0.9854 0.7455 0.9708
Th 0.0146 0.2455 0.0292
Li 0.6036 0.5481 0.2072
Au 0.8218 0.9432 0.6436
Au 0.4219 0.4703 0.8438
Li 0.3964 0.0481 0.7928
Au 0.5781 0.9703 0.1562
Au 0.1782 0.4432 0.3564
Th 0.7961 0.4273 0.5922
Th 0.2039 0.9273 0.4078
```



Record 5
This record from Alexandria via LeMat-Bulk describes crystalline LiCu3Bi at its relaxed geometry. The functional is GGA-PBE. Values from VASP.

Calculated values
- magnetization (μB per formula unit) = 0.0
- energy of formation (eV per atom) = 0.660
- space group = Pm-3m (221)
- relative energy among the computed polymorphs (meV per atom) = 176.2

```
&SYSTEM
  ibrav = 0, nat = 5, ntyp = 3
/
ATOMIC_SPECIES
Li 6.94 Li.upf
Cu 63.55 Cu.upf
Bi 208.98 Bi.upf
CELL_PARAMETERS angstrom
5.0312 0.0000 0.0000
0.0000 5.0312 0.0000
0.0000 0.0000 5.0312
ATOMIC_POSITIONS crystal
Li 0.5000 0.5000 0.5000
Cu 0.0000 0.5000 0.0000
Bi 0.0000 0.0000 0.0000
Cu 0.5000 0.0000 0.0000
Cu 0.0000 0.0000 0.5000
```



Record 6
This record from Alexandria via LeMat-Bulk describes crystalline MgV2Os at its relaxed geometry. The functional is GGA-PBE. Values from VASP.

Calculated values
- magnetization (μB per formula unit) = 0.0
- energy of formation (eV per atom) = 0.506
- space group = I-42d (122)

```
&SYSTEM
  ibrav = 0, nat = 8, ntyp = 3
/
ATOMIC_SPECIES
Os 190.23 Os.upf
Mg 24.30 Mg.upf
V 50.94 V.upf
CELL_PARAMETERS angstrom
-5.1570 2.3256 4.3779
-0.6537 -6.5812 2.7260
-1.0901 -1.5496 5.3832
ATOMIC_POSITIONS crystal
Os 0.7500 0.2500 0.5000
Os 0.0000 0.0000 0.0000
Mg 0.5000 0.5000 0.0000
Mg 0.2500 0.7500 0.5000
V 0.8750 0.9251 0.7500
V 0.3750 0.3249 0.7500
V 0.6751 0.1250 0.2500
V 0.0749 0.6250 0.2500
```